First-principles (PBE+U) data for an optimized crystal structure of MoWO6, as listed in Alexandria via LeMat-Bulk.

Cell: 7.6030 3.9174 3.9174 Å, 89.62 90.00 90.00°
Last column: nearest neighbours and their distance in Å.
Fractional positions:
1 Mo 0.0000 0.0000 0.0000  4 O 1.77-1.92
2 W 0.5000 0.1027 0.1027  6 O 1.85-2.07
3 O 0.0000 0.0466 0.5507  1 Mo 1.77
4 O 0.0000 0.5507 0.0466  1 Mo 1.77
5 O 0.2483 0.0640 0.0640  1 Mo 1.92, 1 W 1.93
6 O 0.5000 0.0757 0.5747  2 W 1.85-2.07
7 O 0.5000 0.5747 0.0757  2 W 1.85-2.07
8 O 0.7517 0.0640 0.0640  1 Mo 1.92, 1 W 1.93

Computed properties:
- Energy relative to the lowest polymorph listed for this composition: 0.000 eV/atom
- Total DFT energy (no corrections): -58.1 eV/cell